(1)
Material: LiZn2Ni
Method: DFT, meta-GGA SCAN
State: PBEsol geometry

Computed properties:
Excess energy over the best structure of this formula in the dataset: 0.106 eV/atom
E_form: -140 meV/atom
DOS at the Fermi energy: 0.32 states/eV per atom
Symmetry: C2/m

abc: 2.5624 4.3884 4.6752
angles: 98.04 90.00 106.98
With the nearest neighbours (Å) after each atom.
Atoms (fractional coordinates):
Li 0.0000 0.0000 0.5000  6 Zn 2.50-2.67, 2 Li 2.56, 4 Ni 2.67
Ni 0.5000 0.0000 0.0000  6 Zn 2.50-2.60, 2 Ni 2.56, 4 Li 2.67
Zn 0.7606 0.5211 0.7619  3 Li 2.50-2.67, 3 Ni 2.50-2.60, 6 Zn 2.56-2.75
Zn 0.2394 0.4789 0.2381  3 Li 2.50-2.67, 3 Ni 2.50-2.60, 6 Zn 2.56-2.75

=====

(2)
Material: LiZn2Ni
Method: DFT, meta-GGA SCAN
State: PBEsol geometry

Computed properties:
Excess energy over the best structure of this formula in the dataset: 0.073 eV/atom
E_form: -172 meV/atom
DOS at the Fermi energy: 0.38 states/eV per atom
Symmetry: Imm2

abc: 2.9522 4.0139 4.7996
angles: 114.72 107.91 90.00
With the nearest neighbours (Å) after each atom.
Atoms (fractional coordinates):
Ni 0.2554 0.7554 0.5108  6 Zn 2.45-2.49, 2 Li 2.53
Zn 0.9930 0.9930 0.9860  2 Ni 2.45, 4 Li 2.49, 2 Zn 2.55
Zn 0.7461 0.2461 0.4921  4 Ni 2.49, 2 Zn 2.55, 2 Li 2.59
Li 0.5055 0.5055 0.0111  6 Zn 2.49-2.59, 2 Ni 2.53

=====

(3)
Material: LiZnNi6
Method: DFT, meta-GGA SCAN
State: PBEsol geometry

Computed properties:
E_form: -15 meV/atom
DOS at the Fermi energy: 0.64 states/eV per atom
Symmetry: Cmmm

abc: 6.0475 6.0475 9.8719
angles: 90.00 90.00 109.50
With the nearest neighbours (Å) after each atom.
Atoms (fractional coordinates):
Li 0.2492 0.7508 0.0000  12 Ni 2.45-2.48
Li 0.7508 0.2492 0.0000  12 Ni 2.45-2.48
Li 0.5000 0.5000 0.7508  12 Ni 2.46-2.48
Li 0.5000 0.5000 0.2492  12 Ni 2.46-2.48
Ni 0.2502 0.7498 0.7522  2 Li 2.45-2.47, 8 Ni 2.45-2.48, 2 Zn 2.47-2.49
Ni 0.8735 0.6228 0.8764  8 Ni 2.44-2.48, 3 Li 2.45-2.47, 1 Zn 2.48
Ni 0.1265 0.3772 0.8764  8 Ni 2.44-2.48, 3 Li 2.45-2.47, 1 Zn 2.48
Ni 0.7498 0.2502 0.7522  2 Li 2.45-2.47, 8 Ni 2.45-2.48, 2 Zn 2.47-2.49
Ni 0.3772 0.1265 0.8764  8 Ni 2.44-2.48, 3 Li 2.45-2.47, 1 Zn 2.48
Ni 0.6228 0.8735 0.8764  8 Ni 2.44-2.48, 3 Li 2.45-2.47, 1 Zn 2.48
Ni 0.5000 0.5000 0.5000  2 Zn 2.46, 8 Ni 2.47, 2 Li 2.48
Ni 0.1259 0.3758 0.6263  1 Li 2.46, 3 Zn 2.47-2.48, 8 Ni 2.47-2.49
Ni 0.3758 0.1259 0.6263  1 Li 2.46, 3 Zn 2.47-2.48, 8 Ni 2.47-2.49
Ni 0.2502 0.7498 0.2478  2 Li 2.45-2.47, 8 Ni 2.45-2.48, 2 Zn 2.47-2.49
Ni 0.8741 0.6242 0.3737  1 Li 2.46, 3 Zn 2.47-2.48, 8 Ni 2.47-2.49
Ni 0.1259 0.3758 0.3737  1 Li 2.46, 3 Zn 2.47-2.48, 8 Ni 2.47-2.49
Ni 0.7498 0.2502 0.2478  2 Li 2.45-2.47, 8 Ni 2.45-2.48, 2 Zn 2.47-2.49
Ni 0.3758 0.1259 0.3737  1 Li 2.46, 3 Zn 2.47-2.48, 8 Ni 2.47-2.49
Ni 0.6242 0.8741 0.3737  1 Li 2.46, 3 Zn 2.47-2.48, 8 Ni 2.47-2.49
Ni 0.5000 0.5000 0.0000  8 Ni 2.45, 4 Li 2.46-2.48
Ni 0.1265 0.3772 0.1236  8 Ni 2.44-2.48, 3 Li 2.45-2.47, 1 Zn 2.48
Ni 0.3772 0.1265 0.1236  8 Ni 2.44-2.48, 3 Li 2.45-2.47, 1 Zn 2.48
Ni 0.0000 0.0000 0.5000  4 Zn 2.48, 8 Ni 2.48
Ni 0.6242 0.8741 0.6263  1 Li 2.46, 3 Zn 2.47-2.48, 8 Ni 2.47-2.49
Ni 0.8741 0.6242 0.6263  1 Li 2.46, 3 Zn 2.47-2.48, 8 Ni 2.47-2.49
Ni 0.0000 0.0000 0.0000  2 Zn 2.45, 2 Li 2.46, 8 Ni 2.47
Ni 0.6228 0.8735 0.1236  8 Ni 2.44-2.48, 3 Li 2.45-2.47, 1 Zn 2.48
Ni 0.8735 0.6228 0.1236  8 Ni 2.44-2.48, 3 Li 2.45-2.47, 1 Zn 2.48
Zn 0.2509 0.7491 0.5000  12 Ni 2.46-2.49
Zn 0.7491 0.2509 0.5000  12 Ni 2.46-2.49
Zn 0.0000 0.0000 0.7516  12 Ni 2.45-2.48
Zn 0.0000 0.0000 0.2484  12 Ni 2.45-2.48